Record 1
A relaxed Dy2InSb crystal. Source: Alexandria, functional GGA-PBE.

Cell lengths 4.1577, 4.1577, 24.1156 Å; angles 90.00, 90.00, 120.00 degrees
Space group R-3m (No. 166, hexagonal axes)
Unique sites:
Dy (0.0000, 0.0000, 0.2434) [6 per cell]
In (0.0000, 0.0000, 0.0000) [3 per cell]
Sb (0.0000, 0.0000, 0.5000) [3 per cell]

Computed properties:
Total magnetization in μB/cell: 0.00
Raw total energy in eV for the cell shown: -56.05
E_form (uncorrected) in meV per atom: -655
Polymorph energy (0 for the lowest one) in eV per atom: 0.111


Record 2
A relaxed AlCr2Cl crystal. Source: Alexandria, functional GGA-PBE.

Cell lengths 7.067, 7.067, 6.165 Å; angles 90.00, 90.00, 90.00 degrees
Space group I-42d (No. 122)
Unique sites:
Al (0.000, 0.000, 0.000) [4 per cell]
Cr (0.232, 0.250, 0.625) [8 per cell]
Cl (0.000, 0.000, 0.500) [4 per cell]

Computed properties:
Total magnetization in μB/cell: 34.73
Raw total energy in eV for the cell shown: -90.37
E_form (uncorrected) in meV per atom: 561
Polymorph energy (0 for the lowest one) in eV per atom: 0.543